A plane-wave DFT calculation with PBE was carried out for a relaxed La3Pr5Ho crystal.

- ρ: 6.224 Mg/m³
- Formation energy from the elements: 390 meV/atom
- M_tot: 0.0 μB per formula unit

Cell: 8.0183 8.0183 12.2164 Å, 84.79 84.79 61.48°
Sites, in units of the cell vectors:
Ho 0.8907 0.8907 0.2556
Ho 0.1093 0.1093 0.7444
La 0.3385 0.3385 0.2234
La 0.6615 0.6615 0.7766
La 0.0000 0.0000 0.0000
La 0.7347 0.7347 0.4882
La 0.0000 0.0000 0.5000
La 0.2653 0.2653 0.5118
Pr 0.0862 0.6622 0.7591
Pr 0.7548 0.7548 0.0276
Pr 0.6711 0.3289 0.0000
Pr 0.4986 0.4986 0.6270
Pr 0.2452 0.2452 0.9724
Pr 0.3289 0.6711 0.0000
Pr 0.6622 0.0862 0.7591
Pr 0.9138 0.3378 0.2409
Pr 0.5014 0.5014 0.3730
Pr 0.3378 0.9138 0.2409

A plane-wave DFT calculation with PBE was carried out for a relaxed La4Pr3Ho2 crystal.

- ρ: 6.665 Mg/m³
- Formation energy from the elements: 88 meV/atom
- Energy above the lowest structure with this stoichiometry: 67 meV/atom
- M_tot: 0.0 μB per formula unit

Cell: 3.7402 6.7806 14.9443 Å, 64.58 90.00 106.01°
Sites, in units of the cell vectors:
Pr 0.6183 0.2366 0.3807
Pr 0.3817 0.7634 0.6193
Pr 0.0000 0.0000 0.0000
Ho 0.3455 0.6910 0.2109
Ho 0.6545 0.3090 0.7891
La 0.1152 0.2303 0.6015
La 0.6538 0.3076 0.1272
La 0.3462 0.6924 0.8728
La 0.8848 0.7697 0.3985

A plane-wave DFT calculation with PBE was carried out for a relaxed LaPr6Ho4 crystal.

- ρ: 6.941 Mg/m³
- Formation energy from the elements: 150 meV/atom
- M_tot: 0.0 μB per formula unit

Cell: 3.6140 11.2099 11.2099 Å, 120.00 90.00 90.00°
Sites, in units of the cell vectors:
Ho 0.5000 0.8379 0.1621
Ho 0.5000 0.3242 0.1621
Ho 0.5000 0.8379 0.6758
Ho 0.0000 0.3333 0.6667
Pr 0.5000 0.6337 0.8169
Pr 0.5000 0.1831 0.3663
Pr 0.5000 0.1831 0.8169
Pr 0.0000 0.9507 0.4753
Pr 0.0000 0.5247 0.4753
Pr 0.0000 0.5247 0.0493
La 0.0000 0.0000 0.0000

A plane-wave DFT calculation with PBE was carried out for a relaxed La3Pr2Ho crystal.

- ρ: 6.611 Mg/m³
- Formation energy from the elements: 223 meV/atom
- Energy above the lowest structure with this stoichiometry: 204 meV/atom
- M_tot: 0.0 μB per formula unit

Cell: 3.4846 6.9404 17.9347 Å, 90.00 90.00 90.00°
Sites, in units of the cell vectors:
La 0.0000 0.0000 0.0000
La 0.5000 0.7431 0.8238
La 0.0000 0.2431 0.6762
La 0.5000 0.5000 0.5000
La 0.0000 0.7569 0.3238
La 0.5000 0.2569 0.1762
Pr 0.0000 0.7338 0.6545
Pr 0.5000 0.7662 0.1545
Pr 0.0000 0.2662 0.3455
Pr 0.5000 0.2338 0.8455
Ho 0.5000 0.5000 0.0000
Ho 0.0000 0.0000 0.5000

A plane-wave DFT calculation with PBE was carried out for a relaxed LaPr2Ho crystal.

- ρ: 6.889 Mg/m³
- Formation energy from the elements: 109 meV/atom
- Energy above the lowest structure with this stoichiometry: 96 meV/atom
- M_tot: 0.0 μB per formula unit

Cell: 4.2865 4.2865 7.6827 Å, 90.00 90.00 90.00°
Sites, in units of the cell vectors:
La 0.5000 0.5000 0.5000
Pr 0.0000 0.0000 0.2341
Pr 0.0000 0.0000 0.7659
Ho 0.5000 0.5000 0.0000

A plane-wave DFT calculation with PBE was carried out for a relaxed La2Pr3Ho7 crystal.

- ρ: 7.658 Mg/m³
- Formation energy from the elements: 91 meV/atom
- M_tot: 0.0 μB per formula unit

Cell: 3.5606 6.4173 18.1579 Å, 75.81 90.00 90.00°
Sites, in units of the cell vectors:
Ho 0.0000 0.4354 0.8376
Ho 0.5000 0.7540 0.5012
Ho 0.0000 0.0000 0.0000
Ho 0.0000 0.5646 0.1624
Ho 0.5000 0.0621 0.1635
Ho 0.5000 0.9379 0.8365
Ho 0.5000 0.2460 0.4988
La 0.5000 0.6225 0.3264
La 0.5000 0.3775 0.6736
Pr 0.0000 0.1176 0.3407
Pr 0.0000 0.8824 0.6593
Pr 0.5000 0.5000 0.0000

A plane-wave DFT calculation with PBE was carried out for a relaxed LaPr12Ho7 crystal.

- ρ: 7.000 Mg/m³
- Formation energy from the elements: 248 meV/atom
- Energy above the lowest structure with this stoichiometry: 22 meV/atom
- M_tot: 0.0 μB per formula unit

Cell: 6.2732 11.6051 11.6051 Å, 116.83 100.38 100.38°
Sites, in units of the cell vectors:
Pr 0.9117 0.8239 0.4109
Pr 0.4992 0.4109 0.5871
Pr 0.5008 0.5891 0.4129
Pr 0.0883 0.1761 0.5891
Pr 0.9312 0.3553 0.3538
Pr 0.5759 0.9985 0.6447
Pr 0.9122 0.4129 0.8239
Pr 0.0878 0.5871 0.1761
Pr 0.5774 0.6462 0.0015
Pr 0.0688 0.6447 0.6462
Pr 0.4241 0.0015 0.3553
Pr 0.4226 0.3538 0.9985
Ho 0.5000 0.0000 0.0000
Ho 0.8749 0.2446 0.9981
Ho 0.8768 0.0019 0.2465
Ho 0.1251 0.7554 0.0019
Ho 0.1232 0.9981 0.7535
Ho 0.6302 0.7535 0.7554
Ho 0.3698 0.2465 0.2446
La 0.0000 0.0000 0.0000

A plane-wave DFT calculation with PBE was carried out for a relaxed LaPrHo4 crystal.

- ρ: 7.921 Mg/m³
- Formation energy from the elements: 27 meV/atom
- Energy above the lowest structure with this stoichiometry: 0 meV/atom
- M_tot: 0.0 μB per formula unit

Cell: 5.0676 8.0417 11.3661 Å, 148.02 90.01 108.40°
Sites, in units of the cell vectors:
Ho 0.8343 0.6693 0.5027
Ho 0.3339 0.6684 0.0034
Ho 0.6660 0.3316 0.9965
Ho 0.1656 0.3307 0.4973
Pr 0.5000 0.0000 0.5000
La 0.0000 0.0000 0.0000

> Among the records above, which one has the highest ρ?

LaPrHo4

> What is the formula in the third record?

LaPr6Ho4